Here is a relaxed structure of La4As2PBr from Alexandria. Energies are from PBE.

a b c (Å): 7.479 4.339 7.565
angles (deg): 90.00 109.31 90.00
Atoms (fractional coordinates):
La: 0.238 0.000 0.231
La: 0.249 0.500 0.762
La: 0.751 0.500 0.238
La: 0.762 0.000 0.769
As: 0.000 0.000 0.500
As: 0.000 0.500 0.000
P: 0.500 0.000 0.000
Br: 0.500 0.500 0.500

Properties
**Raw formation energy**: -1595 meV/atom
**Uncorrected energy**: -48.85 eV/f.u.
**Space-group type**: P2/m (10)

---

Here is a relaxed structure of LaAs2PBr from Alexandria. Energies are from PBE.

a b c (Å): 4.866 4.866 5.098
angles (deg): 90.00 90.00 90.00
Atoms (fractional coordinates):
La: 0.000 0.000 0.000
As: 0.000 0.500 0.500
As: 0.500 0.000 0.500
P: 0.500 0.500 0.500
Br: 0.500 0.500 0.000

Properties
**Relative energy among the computed polymorphs**: 0.0 meV/atom
**Raw formation energy**: -313 meV/atom
**Uncorrected energy**: -22.87 eV/f.u.
**Space-group type**: P4/mmm (123)

---

Here is a relaxed structure of La6As2P3Br from Alexandria. Energies are from PBE.

a b c (Å): 9.670 9.670 8.687
angles (deg): 103.38 103.38 25.72
Atoms (fractional coordinates):
La: 0.002 0.002 0.228
La: 0.326 0.326 0.417
La: 0.334 0.334 0.914
La: 0.666 0.666 0.086
La: 0.674 0.674 0.583
La: 0.998 0.998 0.772
As: 0.165 0.165 0.829
As: 0.835 0.835 0.171
P: 0.165 0.165 0.334
P: 0.500 0.500 0.000
P: 0.835 0.835 0.666
Br: 0.500 0.500 0.500

Properties
**Raw formation energy**: -1618 meV/atom
**Uncorrected energy**: -76.18 eV/f.u.
**Space-group type**: C2/m (12)

---

Here is a relaxed structure of LaAs2PBr from Alexandria. Energies are from PBE.

a b c (Å): 4.961 4.961 5.777
angles (deg): 90.00 90.00 90.00
Atoms (fractional coordinates):
La: 0.000 0.000 0.000
As: 0.000 0.500 0.500
As: 0.500 0.000 0.500
P: 0.500 0.500 0.000
Br: 0.000 0.000 0.500

Properties
**Relative energy among the computed polymorphs**: 848.5 meV/atom
**Raw formation energy**: 535 meV/atom
**Uncorrected energy**: -18.63 eV/f.u.
**Space-group type**: P4/mmm (123)